(1)
# GGA-PBE Tb4Ga16Au3, optimized geometry
data_Tb4Ga16Au3
_chemical_formula_sum 'Tb4 Ga16 Au3'
_cell_length_a 6.369
_cell_length_b 6.369
_cell_length_c 11.115
_cell_angle_alpha 90.00
_cell_angle_beta 90.00
_cell_angle_gamma 90.00
_symmetry_space_group_name_H-M 'P 1'
_symmetry_Int_Tables_number 1
_symmetry_space_group_name_Hall 'P 1'
loop_
_atom_site_label
_atom_site_fract_x
_atom_site_fract_y
_atom_site_fract_z
Tb1 0.000 0.500 0.188
Tb2 0.000 0.500 0.812
Tb3 0.500 0.000 0.188
Tb4 0.500 0.000 0.812
Ga1 0.000 0.000 0.202
Ga2 0.000 0.000 0.798
Ga3 0.206 0.206 0.000
Ga4 0.206 0.794 0.000
Ga5 0.242 0.242 0.371
Ga6 0.242 0.242 0.629
Ga7 0.242 0.758 0.371
Ga8 0.242 0.758 0.629
Ga9 0.500 0.500 0.239
Ga10 0.500 0.500 0.761
Ga11 0.758 0.242 0.371
Ga12 0.758 0.242 0.629
Ga13 0.758 0.758 0.371
Ga14 0.758 0.758 0.629
Ga15 0.794 0.206 0.000
Ga16 0.794 0.794 0.000
Au1 0.000 0.500 0.500
Au2 0.500 0.000 0.500
Au3 0.500 0.500 0.000
# - DFT formation energy (meV/atom) = -428
# - crystal system = tetragonal

(2)
# GGA-PBE Tb3GaAu2, optimized geometry
data_Tb3GaAu2
_chemical_formula_sum 'Tb3 Ga1 Au2'
_cell_length_a 3.587
_cell_length_b 3.587
_cell_length_c 10.961
_cell_angle_alpha 90.00
_cell_angle_beta 90.00
_cell_angle_gamma 90.00
_symmetry_space_group_name_H-M 'P 1'
_symmetry_Int_Tables_number 1
_symmetry_space_group_name_Hall 'P 1'
loop_
_atom_site_label
_atom_site_fract_x
_atom_site_fract_y
_atom_site_fract_z
Tb1 0.000 0.000 0.000
Tb2 0.000 0.000 0.334
Tb3 0.000 0.000 0.666
Ga1 0.500 0.500 0.500
Au1 0.500 0.500 0.170
Au2 0.500 0.500 0.830
# - DFT formation energy (meV/atom) = -762
# - crystal system = tetragonal

(3)
# GGA-PBE TbGa3Au, optimized geometry
data_TbGa3Au
_chemical_formula_sum 'Tb2 Ga6 Au2'
_cell_length_a 12.179
_cell_length_b 12.179
_cell_length_c 4.148
_cell_angle_alpha 90.00
_cell_angle_beta 90.00
_cell_angle_gamma 160.28
_symmetry_space_group_name_H-M 'P 1'
_symmetry_Int_Tables_number 1
_symmetry_space_group_name_Hall 'P 1'
loop_
_atom_site_label
_atom_site_fract_x
_atom_site_fract_y
_atom_site_fract_z
Tb1 0.172 0.828 0.000
Tb2 0.828 0.172 0.000
Ga1 0.052 0.948 0.500
Ga2 0.276 0.724 0.500
Ga3 0.448 0.552 0.000
Ga4 0.552 0.448 0.000
Ga5 0.724 0.276 0.500
Ga6 0.948 0.052 0.500
Au1 0.381 0.619 0.500
Au2 0.619 0.381 0.500
# - DFT formation energy (meV/atom) = -497
# - crystal system = orthorhombic

(4)
# GGA-PBE TbGaAu4, optimized geometry
data_TbGaAu4
_chemical_formula_sum 'Tb2 Ga2 Au8'
_cell_length_a 5.210
_cell_length_b 5.224
_cell_length_c 9.392
_cell_angle_alpha 100.63
_cell_angle_beta 105.87
_cell_angle_gamma 90.22
_symmetry_space_group_name_H-M 'P 1'
_symmetry_Int_Tables_number 1
_symmetry_space_group_name_Hall 'P 1'
loop_
_atom_site_label
_atom_site_fract_x
_atom_site_fract_y
_atom_site_fract_z
Tb1 0.250 0.250 0.000
Tb2 0.750 0.750 0.000
Ga1 0.000 0.500 0.500
Ga2 0.500 0.000 0.500
Au1 0.078 0.122 0.656
Au2 0.163 0.691 0.821
Au3 0.339 0.809 0.179
Au4 0.420 0.378 0.344
Au5 0.580 0.622 0.656
Au6 0.661 0.191 0.821
Au7 0.837 0.309 0.179
Au8 0.922 0.878 0.344
# - DFT formation energy (meV/atom) = -456
# - crystal system = triclinic

(5)
# GGA-PBE Tb2Ga3Au4, optimized geometry
data_Tb2Ga3Au4
_chemical_formula_sum 'Tb4 Ga6 Au8'
_cell_length_a 8.369
_cell_length_b 8.369
_cell_length_c 7.814
_cell_angle_alpha 90.00
_cell_angle_beta 90.00
_cell_angle_gamma 138.93
_symmetry_space_group_name_H-M 'P 1'
_symmetry_Int_Tables_number 1
_symmetry_space_group_name_Hall 'P 1'
loop_
_atom_site_label
_atom_site_fract_x
_atom_site_fract_y
_atom_site_fract_z
Tb1 0.108 0.892 0.905
Tb2 0.392 0.608 0.405
Tb3 0.608 0.392 0.595
Tb4 0.892 0.108 0.095
Ga1 0.000 0.000 0.500
Ga2 0.020 0.480 0.750
Ga3 0.480 0.020 0.250
Ga4 0.500 0.500 0.000
Ga5 0.520 0.980 0.750
Ga6 0.980 0.520 0.250
Au1 0.178 0.822 0.528
Au2 0.193 0.307 0.750
Au3 0.307 0.193 0.250
Au4 0.322 0.678 0.028
Au5 0.678 0.322 0.972
Au6 0.693 0.807 0.750
Au7 0.807 0.693 0.250
Au8 0.822 0.178 0.472
# - DFT formation energy (meV/atom) = -604
# - crystal system = orthorhombic

(6)
# GGA-PBE Tb6GaAu5, optimized geometry
data_Tb6GaAu5
_chemical_formula_sum 'Tb6 Ga1 Au5'
_cell_length_a 5.093
_cell_length_b 7.267
_cell_length_c 8.081
_cell_angle_alpha 90.00
_cell_angle_beta 108.45
_cell_angle_gamma 90.00
_symmetry_space_group_name_H-M 'P 1'
_symmetry_Int_Tables_number 1
_symmetry_space_group_name_Hall 'P 1'
loop_
_atom_site_label
_atom_site_fract_x
_atom_site_fract_y
_atom_site_fract_z
Tb1 0.000 0.245 0.000
Tb2 0.000 0.755 0.000
Tb3 0.333 0.251 0.666
Tb4 0.333 0.749 0.666
Tb5 0.667 0.251 0.334
Tb6 0.667 0.749 0.334
Ga1 0.500 0.500 0.000
Au1 0.156 0.500 0.314
Au2 0.169 0.000 0.339
Au3 0.500 0.000 0.000
Au4 0.831 0.000 0.661
Au5 0.844 0.500 0.686
# - DFT formation energy (meV/atom) = -802
# - crystal system = monoclinic